# FeReBiN2

Crystalline FeReBiN2 at its relaxed geometry (PBE, the Alexandria database).

Geometry as CIF:
```
data_FeReBiN2
_symmetry_space_group_name_H-M 'P 4/m m m'
_symmetry_Int_Tables_number 123
_symmetry_space_group_name_Hall '-P 4 2'
_cell_length_a 3.734
_cell_length_b 3.734
_cell_length_c 5.878
_cell_angle_alpha 90.00
_cell_angle_beta 90.00
_cell_angle_gamma 90.00
loop_
_atom_site_label
_atom_site_type_symbol
_atom_site_fract_x
_atom_site_fract_y
_atom_site_fract_z
Fe1 Fe 0.000 0.000 0.000
Re1 Re 0.500 0.500 0.500
Bi1 Bi 0.000 0.000 0.500
N1 N 0.000 0.500 0.000
```

---

# FeBiS2N

Crystalline FeBiS2N at its relaxed geometry (PBE, the Alexandria database).

Geometry as CIF:
```
data_FeBiS2N
_symmetry_space_group_name_H-M 'P 4/m m m'
_symmetry_Int_Tables_number 123
_symmetry_space_group_name_Hall '-P 4 2'
_cell_length_a 4.805
_cell_length_b 4.805
_cell_length_c 3.504
_cell_angle_alpha 90.00
_cell_angle_beta 90.00
_cell_angle_gamma 90.00
loop_
_atom_site_label
_atom_site_type_symbol
_atom_site_fract_x
_atom_site_fract_y
_atom_site_fract_z
Fe1 Fe 0.000 0.000 0.000
Bi1 Bi 0.500 0.500 0.500
S1 S 0.000 0.500 0.000
N1 N 0.000 0.000 0.500
```

## Properties
Energy relative to the lowest polymorph listed for this composition: 0 meV per atom

---

# FeBiS2N

Crystalline FeBiS2N at its relaxed geometry (PBE, the Alexandria database).

Geometry as CIF:
```
data_FeBiS2N
_symmetry_space_group_name_H-M 'P 4/m m m'
_symmetry_Int_Tables_number 123
_symmetry_space_group_name_Hall '-P 4 2'
_cell_length_a 5.230
_cell_length_b 5.230
_cell_length_c 4.206
_cell_angle_alpha 90.00
_cell_angle_beta 90.00
_cell_angle_gamma 90.00
loop_
_atom_site_label
_atom_site_type_symbol
_atom_site_fract_x
_atom_site_fract_y
_atom_site_fract_z
Fe1 Fe 0.000 0.000 0.000
Bi1 Bi 0.500 0.500 0.500
S1 S 0.000 0.500 0.500
N1 N 0.500 0.500 0.000
```

## Properties
Energy relative to the lowest polymorph listed for this composition: 1266 meV per atom

---

# FeBiSe2N

Crystalline FeBiSe2N at its relaxed geometry (PBE, the Alexandria database).

Geometry as CIF:
```
data_FeBiSe2N
_symmetry_space_group_name_H-M 'P 4/m m m'
_symmetry_Int_Tables_number 123
_symmetry_space_group_name_Hall '-P 4 2'
_cell_length_a 5.497
_cell_length_b 5.497
_cell_length_c 4.302
_cell_angle_alpha 90.00
_cell_angle_beta 90.00
_cell_angle_gamma 90.00
loop_
_atom_site_label
_atom_site_type_symbol
_atom_site_fract_x
_atom_site_fract_y
_atom_site_fract_z
Fe1 Fe 0.000 0.000 0.000
Bi1 Bi 0.500 0.500 0.500
Se1 Se 0.000 0.500 0.500
N1 N 0.500 0.500 0.000
```

## Properties
Energy relative to the lowest polymorph listed for this composition: 1207 meV per atom

---

# FeBiSe2N

Crystalline FeBiSe2N at its relaxed geometry (PBE, the Alexandria database).

Geometry as CIF:
```
data_FeBiSe2N
_symmetry_space_group_name_H-M 'P 4/m m m'
_symmetry_Int_Tables_number 123
_symmetry_space_group_name_Hall '-P 4 2'
_cell_length_a 5.078
_cell_length_b 5.078
_cell_length_c 3.507
_cell_angle_alpha 90.00
_cell_angle_beta 90.00
_cell_angle_gamma 90.00
loop_
_atom_site_label
_atom_site_type_symbol
_atom_site_fract_x
_atom_site_fract_y
_atom_site_fract_z
Fe1 Fe 0.000 0.000 0.000
Bi1 Bi 0.500 0.500 0.500
Se1 Se 0.000 0.500 0.000
N1 N 0.000 0.000 0.500
```

## Properties
Energy relative to the lowest polymorph listed for this composition: 0 meV per atom

---

# Fe2BiSeN

Crystalline Fe2BiSeN at its relaxed geometry (PBE, the Alexandria database).

Geometry as CIF:
```
data_Fe2BiSeN
_symmetry_space_group_name_H-M 'P 4/m m m'
_symmetry_Int_Tables_number 123
_symmetry_space_group_name_Hall '-P 4 2'
_cell_length_a 5.149
_cell_length_b 5.149
_cell_length_c 4.222
_cell_angle_alpha 90.00
_cell_angle_beta 90.00
_cell_angle_gamma 90.00
loop_
_atom_site_label
_atom_site_type_symbol
_atom_site_fract_x
_atom_site_fract_y
_atom_site_fract_z
Fe1 Fe 0.000 0.500 0.000
Bi1 Bi 0.000 0.000 0.000
Se1 Se 0.500 0.500 0.500
N1 N 0.000 0.000 0.500
```

---

# Sr2FeBiN

Crystalline Sr2FeBiN at its relaxed geometry (PBE, the Alexandria database).

Geometry as CIF:
```
data_Sr2FeBiN
_symmetry_space_group_name_H-M 'P 4/m m m'
_symmetry_Int_Tables_number 123
_symmetry_space_group_name_Hall '-P 4 2'
_cell_length_a 5.792
_cell_length_b 5.792
_cell_length_c 3.621
_cell_angle_alpha 90.00
_cell_angle_beta 90.00
_cell_angle_gamma 90.00
loop_
_atom_site_label
_atom_site_type_symbol
_atom_site_fract_x
_atom_site_fract_y
_atom_site_fract_z
Sr1 Sr 0.000 0.500 0.000
Fe1 Fe 0.000 0.000 0.500
Bi1 Bi 0.500 0.500 0.500
N1 N 0.000 0.000 0.000
```

---

# FeBiTe2N

Crystalline FeBiTe2N at its relaxed geometry (PBE, the Alexandria database).

Geometry as CIF:
```
data_FeBiTe2N
_symmetry_space_group_name_H-M 'P 4/m m m'
_symmetry_Int_Tables_number 123
_symmetry_space_group_name_Hall '-P 4 2'
_cell_length_a 5.475
_cell_length_b 5.475
_cell_length_c 3.530
_cell_angle_alpha 90.00
_cell_angle_beta 90.00
_cell_angle_gamma 90.00
loop_
_atom_site_label
_atom_site_type_symbol
_atom_site_fract_x
_atom_site_fract_y
_atom_site_fract_z
Fe1 Fe 0.000 0.000 0.000
Bi1 Bi 0.500 0.500 0.500
Te1 Te 0.000 0.500 0.000
N1 N 0.000 0.000 0.500
```

## Properties
Energy relative to the lowest polymorph listed for this composition: 0 meV per atom

---

no.,calculated volume (Å³ per atom),formation energy without anion corrections (meV/atom),Fermi-level density of states (states/eV/atom)
1,16.387,1751,0.8770
2,16.178,171,0.8761
3,23.005,1437,1.9338
4,25.993,1378,1.4472
5,18.087,171,1.0486
6,22.390,1727,1.4037
7,24.294,-496,0.3471
8,21.167,242,0.5812